A plane-wave DFT calculation with PBE was carried out for an optimized crystal structure of CsRbAsAu.

a = 4.7465 Å, b = 6.1751 Å, c = 6.7777 Å
α = 117.10°, β = 110.50°, γ = 90.00°
With the nearest neighbours (Å) after each atom.
Fractional positions:
Rb (0.8565, 0.8565, 0.7130)  2 Au 3.39, 1 As 3.43, 1 Cs 3.77
Au (0.7304, 0.2304, 0.4607)  2 As 2.48
As (0.1660, 0.1660, 0.3319)  2 Au 2.48
Cs (0.5165, 0.5165, 0.0330)  1 Rb 3.77, 1 As 3.89, 4 Au 3.89-3.96

Values from the calculation:
The symmetry is Imm2. The value obtained for the raw total energy is -11.31 eV for the cell shown.